*i*
TlFeSbTe2: relaxed, PBE.

Results
Calculated volume in Å³/atom: 27.72
D(E_F) in states/eV/cell: 5.35

Unit cell a=5.378 b=5.378 c=4.793 alpha=90.00 beta=90.00 gamma=90.00
Space group P4/mmm (No. 123)
Asymmetric unit:
Tl (0.000, 0.000, 0.000) [1 per cell]
Fe (0.500, 0.500, 0.500) [1 per cell]
Sb (0.500, 0.500, 0.000) [1 per cell]
Te (0.000, 0.500, 0.500) [2 per cell]

*ii*
TlFeSbTe2: relaxed, PBE.

Results
Calculated volume in Å³/atom: 37.53
D(E_F) in states/eV/cell: 9.15

Unit cell a=5.783 b=5.783 c=5.610 alpha=90.00 beta=90.00 gamma=90.00
Space group P4/mmm (No. 123)
Asymmetric unit:
Tl (0.000, 0.000, 0.000) [1 per cell]
Fe (0.500, 0.500, 0.500) [1 per cell]
Sb (0.000, 0.000, 0.500) [1 per cell]
Te (0.000, 0.500, 0.000) [2 per cell]

The winner here is *i*, beating the second structure by 1.068 eV/atom.

*i*
TlFeSb2Te: relaxed, PBE.

Results
Calculated volume in Å³/atom: 27.60
D(E_F) in states/eV/cell: 3.71

Unit cell a=4.837 b=4.837 c=5.897 alpha=90.00 beta=90.00 gamma=90.00
Space group P4/mmm (No. 123)
Asymmetric unit:
Tl (0.000, 0.000, 0.000) [1 per cell]
Fe (0.500, 0.500, 0.500) [1 per cell]
Sb (0.000, 0.500, 0.500) [2 per cell]
Te (0.500, 0.500, 0.000) [1 per cell]

*ii*
TlFeSb2Te: relaxed, PBE.

Results
Calculated volume in Å³/atom: 36.78
D(E_F) in states/eV/cell: 10.26

Unit cell a=5.654 b=5.654 c=5.752 alpha=90.00 beta=90.00 gamma=90.00
Space group P4/mmm (No. 123)
Asymmetric unit:
Tl (0.000, 0.000, 0.000) [1 per cell]
Fe (0.500, 0.500, 0.500) [1 per cell]
Sb (0.000, 0.500, 0.000) [2 per cell]
Te (0.000, 0.000, 0.500) [1 per cell]

The winner here is *i*, beating the second structure by 1.139 eV/atom.

*i*
VFeSbTe2: relaxed, PBE.

Results
Calculated volume in Å³/atom: 25.01
D(E_F) in states/eV/cell: 8.52

Unit cell a=5.140 b=5.140 c=4.733 alpha=90.00 beta=90.00 gamma=90.00
Space group P4/mmm (No. 123)
Asymmetric unit:
V (0.000, 0.000, 0.000) [1 per cell]
Fe (0.500, 0.500, 0.500) [1 per cell]
Sb (0.500, 0.500, 0.000) [1 per cell]
Te (0.000, 0.500, 0.500) [2 per cell]

*ii*
VFeSbTe2: relaxed, PBE.

Results
Calculated volume in Å³/atom: 27.47
D(E_F) in states/eV/cell: 6.45

Unit cell a=5.160 b=5.160 c=5.159 alpha=90.00 beta=90.00 gamma=90.00
Space group P4/mmm (No. 123)
Asymmetric unit:
V (0.000, 0.000, 0.000) [1 per cell]
Fe (0.500, 0.500, 0.500) [1 per cell]
Sb (0.000, 0.000, 0.500) [1 per cell]
Te (0.000, 0.500, 0.000) [2 per cell]

The winner here is *ii*, beating the second structure by 0.132 eV/atom.

*i*
YFeSbTe2: relaxed, PBE.

Results
Calculated volume in Å³/atom: 27.03
D(E_F) in states/eV/cell: 5.93

Unit cell a=5.287 b=5.287 c=4.835 alpha=90.00 beta=90.00 gamma=90.00
Space group P4/mmm (No. 123)
Asymmetric unit:
Y (0.000, 0.000, 0.000) [1 per cell]
Fe (0.500, 0.500, 0.500) [1 per cell]
Sb (0.500, 0.500, 0.000) [1 per cell]
Te (0.000, 0.500, 0.500) [2 per cell]

*ii*
YFeSbTe2: relaxed, PBE.

Results
Calculated volume in Å³/atom: 39.08
D(E_F) in states/eV/cell: 8.73

Unit cell a=5.774 b=5.774 c=5.861 alpha=90.00 beta=90.00 gamma=90.00
Space group P4/mmm (No. 123)
Asymmetric unit:
Y (0.000, 0.000, 0.000) [1 per cell]
Fe (0.500, 0.500, 0.500) [1 per cell]
Sb (0.000, 0.000, 0.500) [1 per cell]
Te (0.000, 0.500, 0.000) [2 per cell]

The winner here is *i*, beating the second structure by 0.686 eV/atom.

*i*
Th3FeSb2: relaxed, PBE.

Results
Calculated volume in Å³/atom: 28.94
D(E_F) in states/eV/cell: 19.71

Unit cell a=13.938 b=6.316 c=8.263 alpha=90.00 beta=107.29 gamma=90.00
Space group C2/c (No. 15)
Asymmetric unit:
Th (0.000, 0.001, 0.250) [4 per cell]
Th (0.132, 0.500, 0.065) [8 per cell]
Fe (0.000, 0.500, 0.250) [4 per cell]
Sb (0.182, 0.000, 0.091) [8 per cell]

*ii*
Th3FeSb2: relaxed, PBE.

Results
Calculated volume in Å³/atom: 26.96
D(E_F) in states/eV/cell: 23.37

Unit cell a=12.643 b=4.273 c=11.978 alpha=90.00 beta=90.00 gamma=90.00
Space group Pnma (No. 62)
Asymmetric unit:
Th (0.054, 0.250, 0.120) [4 per cell]
Th (0.119, 0.750, 0.547) [4 per cell]
Th (0.238, 0.250, 0.778) [4 per cell]
Fe (0.128, 0.250, 0.360) [4 per cell]
Sb (0.008, 0.750, 0.307) [4 per cell]
Sb (0.194, 0.750, 0.986) [4 per cell]

The winner here is *ii*, beating the second structure by 0.087 eV/atom.

*i*
Th5FeSb2: relaxed, PBE.

Results
Calculated volume in Å³/atom: 28.83
D(E_F) in states/eV/cell: 22.72

Unit cell a=8.211 b=12.479 c=4.501 alpha=90.00 beta=90.00 gamma=90.00
Space group Pbam (No. 55)
Asymmetric unit:
Th (0.000, 0.000, 0.000) [2 per cell]
Th (0.124, 0.306, 0.000) [4 per cell]
Th (0.195, 0.561, 0.500) [4 per cell]
Fe (0.000, 0.500, 0.000) [2 per cell]
Sb (0.088, 0.823, 0.500) [4 per cell]

*ii*
Th5FeSb2: relaxed, PBE.

Results
Calculated volume in Å³/atom: 29.78
D(E_F) in states/eV/cell: 17.60

Unit cell a=7.527 b=7.527 c=8.410 alpha=90.00 beta=90.00 gamma=90.00
Space group I4mm (No. 107)
Asymmetric unit:
Th (0.000, 0.000, 0.000) [2 per cell]
Th (0.246, 0.246, 0.709) [8 per cell]
Fe (0.000, 0.000, 0.701) [2 per cell]
Sb (0.000, 0.500, 0.463) [4 per cell]

The winner here is *i*, beating the second structure by 0.227 eV/atom.

*i*
TlFeSb2: relaxed, PBE.

Results
Calculated volume in Å³/atom: 23.55
D(E_F) in states/eV/cell: 3.37

Unit cell a=3.213 b=3.216 c=9.116 alpha=90.00 beta=90.62 gamma=90.00
Space group P2/m (No. 10)
Asymmetric unit:
Tl (0.000, 0.000, 0.000) [1 per cell]
Fe (0.000, 0.000, 0.500) [1 per cell]
Sb (0.496, 0.500, 0.327) [2 per cell]

*ii*
TlFeSb2: relaxed, PBE.

Results
Calculated volume in Å³/atom: 23.63
D(E_F) in states/eV/cell: 10.41

Unit cell a=3.4151 b=3.4151 c=28.0716 alpha=90.00 beta=90.00 gamma=120.00
Space group R3m (No. 160, hexagonal axes)
Asymmetric unit:
Tl (0.0000, 0.0000, 0.0000) [3 per cell]
Fe (0.0000, 0.0000, 0.2594) [3 per cell]
Sb (0.0000, 0.0000, 0.5335) [3 per cell]
Sb (0.0000, 0.0000, 0.7677) [3 per cell]

The winner here is *i*, beating the second structure by 0.247 eV/atom.

*i*
TlFe2Sb: relaxed, PBE.

Results
Calculated volume in Å³/atom: 18.34
D(E_F) in states/eV/cell: 7.04

Unit cell a=4.041 b=3.605 c=10.072 alpha=90.00 beta=90.00 gamma=90.00
Space group Amm2 (No. 38)
Asymmetric unit:
Tl (0.000, 0.000, 0.000) [2 per cell]
Fe (0.000, 0.000, 0.721) [2 per cell]
Fe (0.500, 0.000, 0.586) [2 per cell]
Sb (0.500, 0.000, 0.292) [2 per cell]

*ii*
TlFe2Sb: relaxed, PBE.

Results
Calculated volume in Å³/atom: 19.76
D(E_F) in states/eV/cell: 2.08

Unit cell a=3.131 b=3.131 c=8.065 alpha=90.00 beta=90.00 gamma=90.00
Space group P4mm (No. 99)
Asymmetric unit:
Tl (0.000, 0.000, 0.000) [1 per cell]
Fe (0.000, 0.000, 0.387) [1 per cell]
Fe (0.500, 0.500, 0.244) [1 per cell]
Sb (0.500, 0.500, 0.592) [1 per cell]

The winner here is *ii*, beating the second structure by 0.082 eV/atom.

*i*
TlFe2Sb: relaxed, PBE.

Results
Calculated volume in Å³/atom: 19.54
D(E_F) in states/eV/cell: 3.81

Unit cell a=3.560 b=3.276 c=6.902 alpha=90.00 beta=103.86 gamma=90.00
Space group P2/m (No. 10)
Asymmetric unit:
Tl (0.000, 0.000, 0.000) [1 per cell]
Fe (0.095, 0.500, 0.681) [2 per cell]
Sb (0.500, 0.000, 0.500) [1 per cell]

*ii*
TlFe2Sb: relaxed, PBE.

Results
Calculated volume in Å³/atom: 19.29
D(E_F) in states/eV/cell: 14.79

Unit cell a=6.757 b=6.757 c=6.757 alpha=90.00 beta=90.00 gamma=90.00
Space group F-43m (No. 216)
Asymmetric unit:
Tl (0.000, 0.000, 0.000) [4 per cell]
Fe (0.000, 0.000, 0.500) [4 per cell]
Fe (0.250, 0.250, 0.250) [4 per cell]
Sb (0.250, 0.250, 0.750) [4 per cell]

The winner here is *i*, beating the second structure by 0.310 eV/atom.

*i*
TlFe2Sb: relaxed, PBE.

Results
Calculated volume in Å³/atom: 18.63
D(E_F) in states/eV/cell: 3.83

Unit cell a=3.386 b=3.386 c=6.501 alpha=90.00 beta=90.00 gamma=90.00
Space group P4/mmm (No. 123)
Asymmetric unit:
Tl (0.000, 0.000, 0.000) [1 per cell]
Fe (0.500, 0.500, 0.308) [2 per cell]
Sb (0.000, 0.000, 0.500) [1 per cell]

*ii*
TlFe2Sb: relaxed, PBE.

Results
Calculated volume in Å³/atom: 15.99
D(E_F) in states/eV/cell: 1.64

Unit cell a=6.348 b=6.348 c=6.348 alpha=90.00 beta=90.00 gamma=90.00
Space group Fm-3m (No. 225)
Asymmetric unit:
Tl (0.000, 0.000, 0.000) [4 per cell]
Fe (0.250, 0.250, 0.250) [8 per cell]
Sb (0.000, 0.000, 0.500) [4 per cell]

The winner here is *i*, beating the second structure by 0.149 eV/atom.

*i*
VFeSb2: relaxed, PBE.

Results
Calculated volume in Å³/atom: 20.64
D(E_F) in states/eV/cell: 13.24

Unit cell a=3.2407 b=3.2407 c=27.2348 alpha=90.00 beta=90.00 gamma=120.00
Space group R-3m (No. 166, hexagonal axes)
Asymmetric unit:
V (0.0000, 0.0000, 0.0000) [3 per cell]
Fe (0.0000, 0.0000, 0.5000) [3 per cell]
Sb (0.0000, 0.0000, 0.4051) [6 per cell]

*ii*
VFeSb2: relaxed, PBE.

Results
Calculated volume in Å³/atom: 20.65
D(E_F) in states/eV/cell: 25.32

Unit cell a=7.314 b=7.314 c=6.176 alpha=90.00 beta=90.00 gamma=90.00
Space group I-42d (No. 122)
Asymmetric unit:
V (0.000, 0.000, 0.000) [4 per cell]
Fe (0.000, 0.000, 0.500) [4 per cell]
Sb (0.230, 0.250, 0.625) [8 per cell]

The winner here is *i*, beating the second structure by 0.092 eV/atom.

*i*
VFe2Sb: relaxed, PBE.

Results
Calculated volume in Å³/atom: 16.16
D(E_F) in states/eV/cell: 16.10

Unit cell a=3.841 b=3.841 c=17.525 alpha=90.00 beta=90.00 gamma=90.00
Space group I-42d (No. 122)
Asymmetric unit:
V (0.000, 0.000, 0.000) [4 per cell]
Fe (0.229, 0.250, 0.125) [8 per cell]
Sb (0.000, 0.000, 0.500) [4 per cell]

*ii*
VFe2Sb: relaxed, PBE.

Results
Calculated volume in Å³/atom: 14.38
D(E_F) in states/eV/cell: 3.98

Unit cell a=3.837 b=3.837 c=3.907 alpha=90.00 beta=90.00 gamma=90.00
Space group P4/mmm (No. 123)
Asymmetric unit:
V (0.000, 0.000, 0.000) [1 per cell]
Fe (0.000, 0.500, 0.500) [2 per cell]
Sb (0.500, 0.500, 0.000) [1 per cell]

The winner here is *ii*, beating the second structure by 0.384 eV/atom.

*i*
VFe3Sb: relaxed, PBE.

Results
Calculated volume in Å³/atom: 20.42
D(E_F) in states/eV/cell: 13.38

Unit cell a=4.674 b=4.674 c=4.674 alpha=90.00 beta=90.00 gamma=90.00
Space group Pm-3m (No. 221)
Asymmetric unit:
V (0.000, 0.000, 0.000) [1 per cell]
Fe (0.000, 0.500, 0.500) [3 per cell]
Sb (0.500, 0.500, 0.500) [1 per cell]

*ii*
VFe3Sb: relaxed, PBE.

Results
Calculated volume in Å³/atom: 16.41
D(E_F) in states/eV/cell: 4.80

Unit cell a=4.345 b=4.345 c=4.345 alpha=90.00 beta=90.00 gamma=90.00
Space group Pm-3m (No. 221)
Asymmetric unit:
V (0.000, 0.000, 0.000) [1 per cell]
Fe (0.000, 0.000, 0.500) [3 per cell]
Sb (0.500, 0.500, 0.500) [1 per cell]

The winner here is *ii*, beating the second structure by 0.616 eV/atom.